A plane-wave DFT calculation with PBE-GGA was carried out for HoAgPb2 after structural relaxation.

Geometry as CIF:
```
data_HoAgPb2
_chemical_formula_sum 'Ho4 Ag4 Pb8'
_symmetry_space_group_name_H-M 'F m -3 m'
_symmetry_Int_Tables_number 225
_symmetry_space_group_name_Hall '-F 4 2 3'
_cell_length_a 7.483
_cell_length_b 7.483
_cell_length_c 7.483
_cell_angle_alpha 90.00
_cell_angle_beta 90.00
_cell_angle_gamma 90.00
loop_
_atom_site_label
_atom_site_type_symbol
_atom_site_fract_x
_atom_site_fract_y
_atom_site_fract_z
Ho1 Ho 0.000 0.000 0.000
Ag1 Ag 0.000 0.000 0.500
Pb1 Pb 0.250 0.250 0.250
```

Results
Density of states at the Fermi level   3.670 states/eV per cell

---

A plane-wave DFT calculation with PBE-GGA was carried out for Ho2AgPb after structural relaxation.

Geometry as CIF:
```
data_Ho2AgPb
_chemical_formula_sum 'Ho2 Ag1 Pb1'
_symmetry_space_group_name_H-M 'P 4/m m m'
_symmetry_Int_Tables_number 123
_symmetry_space_group_name_Hall '-P 4 2'
_cell_length_a 5.037
_cell_length_b 5.037
_cell_length_c 4.068
_cell_angle_alpha 90.00
_cell_angle_beta 90.00
_cell_angle_gamma 90.00
loop_
_atom_site_label
_atom_site_type_symbol
_atom_site_fract_x
_atom_site_fract_y
_atom_site_fract_z
Ho1 Ho 0.000 0.500 0.000
Ag1 Ag 0.000 0.000 0.500
Pb1 Pb 0.500 0.500 0.500
```

Results
Density of states at the Fermi level   3.140 states/eV per cell

---

A plane-wave DFT calculation with PBE-GGA was carried out for Ho3AgPb after structural relaxation.

Geometry as CIF:
```
data_Ho3AgPb
_chemical_formula_sum 'Ho12 Ag4 Pb4'
_symmetry_space_group_name_H-M 'C 1 2/m 1'
_symmetry_Int_Tables_number 12
_cell_length_a 23.617
_cell_length_b 4.626
_cell_length_c 4.898
_cell_angle_alpha 90.00
_cell_angle_beta 90.10
_cell_angle_gamma 90.00
loop_
_symmetry_equiv_pos_as_xyz
'x,y,z'
'-x,-y,-z'
'-x,y,-z'
'x,-y,z'
'x+1/2,y+1/2,z'
'-x+1/2,-y+1/2,-z'
'-x+1/2,y+1/2,-z'
'x+1/2,-y+1/2,z'
loop_
_atom_site_label
_atom_site_type_symbol
_atom_site_fract_x
_atom_site_fract_y
_atom_site_fract_z
Ho1 Ho 0.051 0.000 0.249
Ho2 Ho 0.162 0.000 0.749
Ho3 Ho 0.168 0.500 0.250
Ag1 Ag 0.248 0.500 0.750
Pb1 Pb 0.065 0.500 0.749
```

Results
Density of states at the Fermi level   21.448 states/eV per cell

---

A plane-wave DFT calculation with PBE-GGA was carried out for HoAgPb after structural relaxation.

Geometry as CIF:
```
data_HoAgPb
_chemical_formula_sum 'Ho1 Ag1 Pb1'
_symmetry_space_group_name_H-M 'P 3 m 1'
_symmetry_Int_Tables_number 156
_cell_length_a 4.9212
_cell_length_b 4.9212
_cell_length_c 3.5134
_cell_angle_alpha 90.00
_cell_angle_beta 90.00
_cell_angle_gamma 120.00
loop_
_symmetry_equiv_pos_as_xyz
'x,y,z'
'-y,x-y,z'
'-x+y,-x,z'
'-y,-x,z'
'-x+y,y,z'
'x,x-y,z'
loop_
_atom_site_label
_atom_site_type_symbol
_atom_site_fract_x
_atom_site_fract_y
_atom_site_fract_z
Ho1 Ho 0.0000 0.0000 0.0000
Ag1 Ag 0.6667 0.3333 0.5107
Pb1 Pb 0.3333 0.6667 0.4874
```

Results
Density of states at the Fermi level   1.868 states/eV per cell

---

A plane-wave DFT calculation with PBE-GGA was carried out for Ho5Ag4Pb after structural relaxation.

Geometry as CIF:
```
data_Ho5Ag4Pb
_chemical_formula_sum 'Ho5 Ag4 Pb1'
_symmetry_space_group_name_H-M 'P 4/m m m'
_symmetry_Int_Tables_number 123
_symmetry_space_group_name_Hall '-P 4 2'
_cell_length_a 3.566
_cell_length_b 3.566
_cell_length_c 19.299
_cell_angle_alpha 90.00
_cell_angle_beta 90.00
_cell_angle_gamma 90.00
loop_
_atom_site_label
_atom_site_type_symbol
_atom_site_fract_x
_atom_site_fract_y
_atom_site_fract_z
Ho1 Ho 0.000 0.000 0.000
Ho2 Ho 0.000 0.000 0.192
Ho3 Ho 0.000 0.000 0.385
Ag1 Ag 0.500 0.500 0.097
Ag2 Ag 0.500 0.500 0.287
Pb1 Pb 0.500 0.500 0.500
```

Results
Density of states at the Fermi level   4.184 states/eV per cell

---

A plane-wave DFT calculation with PBE-GGA was carried out for HoAgPb after structural relaxation.

Geometry as CIF:
```
data_HoAgPb
_chemical_formula_sum 'Ho2 Ag2 Pb2'
_symmetry_space_group_name_H-M 'I 4 m m'
_symmetry_Int_Tables_number 107
_symmetry_space_group_name_Hall 'I 4 -2'
_cell_length_a 3.592
_cell_length_b 3.592
_cell_length_c 11.765
_cell_angle_alpha 90.00
_cell_angle_beta 90.00
_cell_angle_gamma 90.00
loop_
_atom_site_label
_atom_site_type_symbol
_atom_site_fract_x
_atom_site_fract_y
_atom_site_fract_z
Ho1 Ho 0.000 0.000 0.000
Ag1 Ag 0.000 0.000 0.647
Pb1 Pb 0.000 0.000 0.307
```

Results
Density of states at the Fermi level   3.435 states/eV per cell

---

A plane-wave DFT calculation with PBE-GGA was carried out for Ho2Ag3Pb after structural relaxation.

Geometry as CIF:
```
data_Ho2Ag3Pb
_chemical_formula_sum 'Ho8 Ag12 Pb4'
_symmetry_space_group_name_H-M 'P 63/m m c'
_symmetry_Int_Tables_number 194
_symmetry_space_group_name_Hall '-P 6c 2c'
_cell_length_a 9.6937
_cell_length_b 9.6937
_cell_length_c 6.8945
_cell_angle_alpha 90.00
_cell_angle_beta 90.00
_cell_angle_gamma 120.00
loop_
_atom_site_label
_atom_site_type_symbol
_atom_site_fract_x
_atom_site_fract_y
_atom_site_fract_z
Ho1 Ho 0.0000 0.0000 0.2500
Ho2 Ho 0.9995 0.4998 0.2500
Ag1 Ag 0.1634 0.3268 0.0014
Pb1 Pb 0.3333 0.6667 0.0003
```

Results
Density of states at the Fermi level   15.973 states/eV per cell
Energy above the most stable polymorph in this dataset   0 meV/atom

---

A plane-wave DFT calculation with PBE-GGA was carried out for HoAgPb2 after structural relaxation.

Geometry as CIF:
```
data_HoAgPb2
_chemical_formula_sum 'Ho3 Ag3 Pb6'
_symmetry_space_group_name_H-M 'R -3 m'
_symmetry_Int_Tables_number 166
_symmetry_space_group_name_Hall '-R 3 2"'
_cell_length_a 3.4722
_cell_length_b 3.4722
_cell_length_c 32.8700
_cell_angle_alpha 90.00
_cell_angle_beta 90.00
_cell_angle_gamma 120.00
loop_
_atom_site_label
_atom_site_type_symbol
_atom_site_fract_x
_atom_site_fract_y
_atom_site_fract_z
Ho1 Ho 0.0000 0.0000 0.0000
Ag1 Ag 0.0000 0.0000 0.5000
Pb1 Pb 0.0000 0.0000 0.0957
```

Results
Density of states at the Fermi level   8.216 states/eV per cell

---

A plane-wave DFT calculation with PBE-GGA was carried out for HoAgPb after structural relaxation.

Geometry as CIF:
```
data_HoAgPb
_chemical_formula_sum 'Ho2 Ag2 Pb2'
_symmetry_space_group_name_H-M 'P 63 m c'
_symmetry_Int_Tables_number 186
_symmetry_space_group_name_Hall 'P 6c -2c'
_cell_length_a 4.8116
_cell_length_b 4.8116
_cell_length_c 7.4666
_cell_angle_alpha 90.00
_cell_angle_beta 90.00
_cell_angle_gamma 120.00
loop_
_atom_site_label
_atom_site_type_symbol
_atom_site_fract_x
_atom_site_fract_y
_atom_site_fract_z
Ho1 Ho 0.0000 0.0000 0.0000
Ag1 Ag 0.3333 0.6667 0.3169
Pb1 Pb 0.3333 0.6667 0.7209
```

Results
Density of states at the Fermi level   1.134 states/eV per cell

---

A plane-wave DFT calculation with PBE-GGA was carried out for Ho3Ag3Pb4 after structural relaxation.

Geometry as CIF:
```
data_Ho3Ag3Pb4
_chemical_formula_sum 'Ho12 Ag12 Pb16'
_symmetry_space_group_name_H-M 'I -4 3 d'
_symmetry_Int_Tables_number 220
_symmetry_space_group_name_Hall 'I -4bd 2c 3'
_cell_length_a 10.120
_cell_length_b 10.120
_cell_length_c 10.120
_cell_angle_alpha 90.00
_cell_angle_beta 90.00
_cell_angle_gamma 90.00
loop_
_atom_site_label
_atom_site_type_symbol
_atom_site_fract_x
_atom_site_fract_y
_atom_site_fract_z
Ho1 Ho 0.000 0.250 0.375
Ag1 Ag 0.000 0.250 0.875
Pb1 Pb 0.094 0.094 0.094
```

Results
Density of states at the Fermi level   30.640 states/eV per cell

---

A plane-wave DFT calculation with PBE-GGA was carried out for HoAgPb2 after structural relaxation.

Geometry as CIF:
```
data_HoAgPb2
_chemical_formula_sum 'Ho1 Ag1 Pb2'
_symmetry_space_group_name_H-M 'P 4/m m m'
_symmetry_Int_Tables_number 123
_symmetry_space_group_name_Hall '-P 4 2'
_cell_length_a 3.754
_cell_length_b 3.754
_cell_length_c 7.439
_cell_angle_alpha 90.00
_cell_angle_beta 90.00
_cell_angle_gamma 90.00
loop_
_atom_site_label
_atom_site_type_symbol
_atom_site_fract_x
_atom_site_fract_y
_atom_site_fract_z
Ho1 Ho 0.000 0.000 0.000
Ag1 Ag 0.000 0.000 0.500
Pb1 Pb 0.500 0.500 0.271
```

Results
Density of states at the Fermi level   2.905 states/eV per cell

---

A plane-wave DFT calculation with PBE-GGA was carried out for Ho4Ag2Pb after structural relaxation.

Geometry as CIF:
```
data_Ho4Ag2Pb
_chemical_formula_sum 'Ho12 Ag6 Pb3'
_symmetry_space_group_name_H-M 'R -3 m'
_symmetry_Int_Tables_number 166
_symmetry_space_group_name_Hall '-R 3 2"'
_cell_length_a 5.1723
_cell_length_b 5.1723
_cell_length_c 24.4828
_cell_angle_alpha 90.00
_cell_angle_beta 90.00
_cell_angle_gamma 120.00
loop_
_atom_site_label
_atom_site_type_symbol
_atom_site_fract_x
_atom_site_fract_y
_atom_site_fract_z
Ho1 Ho 0.0000 0.0000 0.1121
Ho2 Ho 0.0000 0.0000 0.3675
Ag1 Ag 0.0000 0.0000 0.2454
Pb1 Pb 0.0000 0.0000 0.5000
```

Results
Density of states at the Fermi level   20.391 states/eV per cell

---

| no. | energy of formation from the pure elements (meV per atom) | size of the total moment (μB per cell) |
| --- | --- | --- |
| 1 | -102 | 0.000 |
| 2 | -370 | 0.438 |
| 3 | -303 | 0.002 |
| 4 | -310 | 0.000 |
| 5 | -343 | 0.000 |
| 6 | -212 | 0.019 |
| 7 | -278 | 0.000 |
| 8 | 125 | 0.000 |
| 9 | -385 | 0.000 |
| 10 | -223 | 0.000 |
| 11 | -85 | 0.000 |
| 12 | -194 | 0.000 |